Density functional theory data (PBE with a Hubbard U) for an optimized crystal structure of TlNiF3.

The structure in POSCAR format:
```
TlNiF3
1.0
-4.0073 6.9513 0.2385
2.0588 -5.8556 5.0901
4.4196 2.5101 1.1000
Ni F Tl
2 6 2
Direct
0.0937 0.9063 0.2500 Ni
0.9063 0.0937 0.7500 Ni
0.9450 0.5817 0.2500 F
0.4183 0.0550 0.2500 F
0.0000 0.0000 0.5000 F
0.0550 0.4183 0.7500 F
0.5817 0.9450 0.7500 F
0.0000 0.0000 0.0000 F
0.3289 0.6711 0.2500 Tl
0.6711 0.3289 0.7500 Tl
```

Summary:
Offset from the most stable computed form: 0.195 eV/atom
D(E_F): 0.00 states/eV/atom